Entry 1:
Density functional theory data (GGA-PBE) for an optimized crystal structure of CoSi2Hg.

The raw formation energy comes out at 0.069 eV/atom.

The structure belongs to space group Cm (No. 8); the cell edges are 7.959, 2.825 and 6.319 Å and the angles 90.00°, 108.55° and 90.00°. Symmetry generates all atoms from Co at (0.000, 0.000, 0.000), Si at (0.036, 0.500, 0.292), Si at (0.214, 0.500, 0.975) and Hg at (0.363, 0.000, 0.593).


Entry 2:
Density functional theory data (GGA-PBE) for an optimized crystal structure of Pr5In2Pb2.

The value obtained for the calculated formation energy is -4.42 eV/f.u.

The structure belongs to space group Cmce (No. 64); the cell edges are 16.471, 8.545 and 8.458 Å and the angles 90.00°, 90.00° and 90.00°. Symmetry generates all atoms from Pr at (0.000, 0.000, 0.000), Pr at (0.140, 0.178, 0.328), In at (0.000, 0.122, 0.622) and Pb at (0.207, 0.000, 0.000).


Entry 3:
Density functional theory data (GGA-PBE) for an optimized crystal structure of Ca5PuPb6.

The value obtained for the calculated formation energy is -5.31 eV/f.u.

The structure belongs to space group P-1 (No. 2); the cell edges are 5.809, 7.276 and 9.283 Å and the angles 112.99°, 95.80° and 90.07°. Symmetry generates all atoms from Ca at (0.000, 0.000, 0.000), Ca at (0.326, 0.331, 0.661), Ca at (0.330, 0.833, 0.666), Pu at (0.000, 0.500, 0.000), Pb at (0.170, 0.414, 0.329), Pb at (0.170, 0.914, 0.329) and Pb at (0.500, 0.252, 0.000).


no.,final energy (eV for the cell shown)
1,-35.95
2,-164.83
3,-51.90